First-principles (PBEsol) data for a relaxed structure of TaBeSb, as listed in Alexandria via LeMat-Bulk.

## Properties
ΔE to the lowest computed polymorph ... 0.0000 eV/atom
Space group ... Imm2, No. 44
Formation energy from raw total energies ... 0.20 eV per atom
Crystal system ... orthorhombic

a = 5.1161 Å, b = 5.1161 Å, c = 5.1161 Å
α = 145.26°, β = 139.49°, γ = 54.40°
Fractional coordinates of all 3 atoms:
Ta  0.0000  0.0000  0.0000
Be  0.6268  0.6268  0.0000
Sb  0.3108  0.3108  0.0000

=====

First-principles (PBEsol) data for a relaxed structure of TaBeSb, as listed in Alexandria via LeMat-Bulk.

## Properties
ΔE to the lowest computed polymorph ... 0.6479 eV/atom
Space group ... F-43m, No. 216
Formation energy from raw total energies ... 0.85 eV per atom
Crystal system ... cubic

a = 4.4075 Å, b = 4.4075 Å, c = 4.4075 Å
α = 60.00°, β = 60.00°, γ = 60.00°
Fractional coordinates of all 3 atoms:
Ta  0.0000  0.0000  0.0000
Be  0.7500  0.7500  0.7500
Sb  0.2500  0.2500  0.2500

=====

First-principles (PBEsol) data for a relaxed structure of TaBeSb, as listed in Alexandria via LeMat-Bulk.

## Properties
ΔE to the lowest computed polymorph ... 0.2907 eV/atom
Space group ... P-6m2, No. 187
Formation energy from raw total energies ... 0.49 eV per atom
Crystal system ... hexagonal

a = 4.4719 Å, b = 4.4719 Å, c = 2.8285 Å
α = 90.00°, β = 90.00°, γ = 120.00°
Fractional coordinates of all 3 atoms:
Ta  0.0000  0.0000  0.0000
Be  0.3333  0.6667  0.5000
Sb  0.6667  0.3333  0.5000

=====

First-principles (PBEsol) data for a relaxed structure of Ta2BeSb, as listed in Alexandria via LeMat-Bulk.

## Properties
Space group ... R-3m, No. 166
Formation energy from raw total energies ... 0.21 eV per atom
Crystal system ... trigonal

a = 6.8481 Å, b = 6.8481 Å, c = 6.8481 Å
α = 29.27°, β = 29.27°, γ = 29.27°
Fractional coordinates of all 4 atoms:
Ta  0.2295  0.2295  0.2295
Ta  0.7705  0.7705  0.7705
Be  0.5000  0.5000  0.5000
Sb  0.0000  0.0000  0.0000

=====

First-principles (PBEsol) data for a relaxed structure of BeTc2Sb, as listed in Alexandria via LeMat-Bulk.

## Properties
ΔE to the lowest computed polymorph ... 0.0018 eV/atom
Space group ... Cm, No. 8
Formation energy from raw total energies ... 0.21 eV per atom
Crystal system ... monoclinic

a = 4.7240 Å, b = 4.7240 Å, c = 4.4288 Å
α = 107.71°, β = 107.71°, γ = 37.83°
Fractional coordinates of all 4 atoms:
Be  0.0000  0.0000  0.0000
Tc  0.2711  0.2711  0.8760
Tc  0.5161  0.5161  0.5571
Sb  0.7572  0.7572  0.3461

=====

First-principles (PBEsol) data for a relaxed structure of BeTc2Sb, as listed in Alexandria via LeMat-Bulk.

## Properties
ΔE to the lowest computed polymorph ... 0.0868 eV/atom
Space group ... I-4m2, No. 119
Formation energy from raw total energies ... 0.30 eV per atom
Crystal system ... tetragonal

a = 4.7129 Å, b = 4.7129 Å, c = 4.7129 Å
α = 131.58°, β = 131.58°, γ = 70.89°
Fractional coordinates of all 4 atoms:
Be  0.0000  0.0000  0.0000
Tc  0.2500  0.7500  0.5000
Tc  0.5000  0.5000  0.0000
Sb  0.7500  0.2500  0.5000

=====

First-principles (PBEsol) data for a relaxed structure of BeTc2Sb, as listed in Alexandria via LeMat-Bulk.

## Properties
ΔE to the lowest computed polymorph ... 0.0569 eV/atom
Space group ... R-3m, No. 166
Formation energy from raw total energies ... 0.27 eV per atom
Crystal system ... trigonal

a = 6.9544 Å, b = 6.9544 Å, c = 6.9544 Å
α = 26.15°, β = 26.15°, γ = 26.15°
Fractional coordinates of all 4 atoms:
Be  0.0000  0.0000  0.0000
Tc  0.2716  0.2716  0.2716
Tc  0.7284  0.7284  0.7284
Sb  0.5000  0.5000  0.5000

=====

First-principles (PBEsol) data for a relaxed structure of BeTc2Sb, as listed in Alexandria via LeMat-Bulk.

## Properties
ΔE to the lowest computed polymorph ... 0.0000 eV/atom
Space group ... P2/m, No. 10
Formation energy from raw total energies ... 0.21 eV per atom
Crystal system ... monoclinic

a = 3.0587 Å, b = 3.3639 Å, c = 5.5699 Å
α = 90.00°, β = 99.24°, γ = 90.00°
Fractional coordinates of all 4 atoms:
Be  0.0000  0.0000  0.0000
Tc  0.3763  0.5000  0.2182
Tc  0.6237  0.5000  0.7818
Sb  0.0000  0.0000  0.5000

=====

Question: formation energy from raw total energies of number 4 (Ta2BeSb)?
Answer: 0.21 eV per atom

=====

Question: The highest formation energy from raw total energies belongs to which entry?
Answer: number 2

=====

Question: Among the records above, which one has the highest formation energy from raw total energies?
Answer: number 2